A plane-wave DFT calculation with PBE was carried out for an optimized crystal structure of LiNi4Sb. Values from VASP.

Results
ΔE_f (raw) (eV/atom): 0.010
Polymorph energy (0 for the lowest one) (eV/atom): 0.113
Calculated density (g cm⁻³): 7.73

The structure in Quantum ESPRESSO input format:
```
&SYSTEM
  ibrav = 0, nat = 12, ntyp = 3
/
ATOMIC_SPECIES
Sb 121.76 Sb.upf
Ni 58.69 Ni.upf
Li 6.94 Li.upf
CELL_PARAMETERS angstrom
-3.4875 -1.1333 3.4035
-2.0832 -4.4099 -0.4001
5.0238 -2.7569 4.2298
ATOMIC_POSITIONS angstrom
Sb 3.2470 -3.1701 3.0723
Sb -0.3064 -3.9967 0.7574
Ni -0.7466 -5.9035 2.3742
Ni -1.3960 -4.2974 4.1923
Ni -3.3538 -3.2232 2.5440
Ni 2.8070 -5.0770 4.6892
Ni 2.1575 -3.4710 6.5074
Ni -2.7043 -4.8291 0.7259
Ni 0.1998 -2.3966 4.8590
Ni 0.8492 -4.0027 3.0409
Li -1.0086 -2.3584 2.6592
Li 0.4618 -5.9418 4.5741
```

A plane-wave DFT calculation with PBE was carried out for an optimized crystal structure of GaAgSbOsPt. Values from VASP.

Results
ΔE_f (raw) (eV/atom): 0.107
Polymorph energy (0 for the lowest one) (eV/atom): 0.173
Calculated density (g cm⁻³): 12.75

The structure in Quantum ESPRESSO input format:
```
&SYSTEM
  ibrav = 0, nat = 10, ntyp = 5
/
ATOMIC_SPECIES
Os 190.23 Os.upf
Ga 69.72 Ga.upf
Sb 121.76 Sb.upf
Pt 195.08 Pt.upf
Ag 107.87 Ag.upf
CELL_PARAMETERS angstrom
4.3491 0.0000 0.0000
0.0000 3.1023 0.0000
0.0000 0.0000 13.2198
ATOMIC_POSITIONS angstrom
Os 2.1746 0.0000 9.0666
Os 2.1746 1.5511 2.4567
Ga 2.1746 1.5511 11.0977
Ga 2.1746 0.0000 4.4879
Sb 0.0000 0.0000 1.5819
Sb 0.0000 1.5511 8.1918
Pt 2.1746 1.5511 6.5100
Pt 2.1746 0.0000 13.1199
Ag 0.0000 0.0000 11.2302
Ag 0.0000 1.5511 4.6203
```

A plane-wave DFT calculation with PBE was carried out for an optimized crystal structure of Ce2ZnC. Values from VASP.

Results
Polymorph energy (0 for the lowest one) (eV/atom): 0.092
Calculated density (g cm⁻³): 8.00
DFT formation energy (eV/atom): -0.037

The structure in Quantum ESPRESSO input format:
```
&SYSTEM
  ibrav = 0, nat = 4, ntyp = 3
/
ATOMIC_SPECIES
C 12.01 C.upf
Ce 140.12 Ce.upf
Zn 65.41 Zn.upf
CELL_PARAMETERS angstrom
-2.5690 -1.0790 1.4140
-0.8013 -1.5157 -2.6123
3.8654 -6.1107 2.3600
ATOMIC_POSITIONS angstrom
C -1.6851 -1.2973 -0.5991
Ce 0.7234 -1.1437 0.4417
Ce 3.1419 -4.9670 1.9183
Zn 0.2475 -4.3527 0.5809
```

A plane-wave DFT calculation with PBE was carried out for an optimized crystal structure of Y2InTe5. Values from VASP.

Results
ΔE_f (raw) (eV/atom): -0.840
Calculated density (g cm⁻³): 4.94

The structure in Quantum ESPRESSO input format:
```
&SYSTEM
  ibrav = 0, nat = 16, ntyp = 3
/
ATOMIC_SPECIES
Te 127.60 Te.upf
In 114.82 In.upf
Y 88.91 Y.upf
CELL_PARAMETERS angstrom
-5.0079 2.2983 2.8051
4.0814 -5.1265 4.6725
7.4412 10.3231 4.8264
ATOMIC_POSITIONS angstrom
Te 5.6254 6.6858 11.3794
Te 4.1345 1.7449 5.9516
Te 0.8893 0.8092 0.9246
Te 1.6281 -1.7322 4.3259
Te 3.4662 3.6902 9.9789
Te 0.0253 2.0434 5.1852
Te 6.4894 5.4516 7.1188
Te 2.3802 5.7500 6.3523
Te 4.8866 9.2272 7.9780
Te 3.0485 3.8047 2.3251
In 2.4800 1.0183 3.5932
In 4.0347 6.4767 8.7108
Y 4.7550 4.5120 4.7921
Y 7.4735 8.2834 6.5553
Y -0.9588 -0.7884 5.7487
Y 1.7597 2.9830 7.5119
```

> Among the records above, which one has the highest calculated density?

GaAgSbOsPt

Copy entry 3 word for word.
A plane-wave DFT calculation with PBE was carried out for an optimized crystal structure of Ce2ZnC. Values from VASP.

Results
Polymorph energy (0 for the lowest one) (eV/atom): 0.092
Calculated density (g cm⁻³): 8.00
DFT formation energy (eV/atom): -0.037

The structure in Quantum ESPRESSO input format:
```
&SYSTEM
  ibrav = 0, nat = 4, ntyp = 3
/
ATOMIC_SPECIES
C 12.01 C.upf
Ce 140.12 Ce.upf
Zn 65.41 Zn.upf
CELL_PARAMETERS angstrom
-2.5690 -1.0790 1.4140
-0.8013 -1.5157 -2.6123
3.8654 -6.1107 2.3600
ATOMIC_POSITIONS angstrom
C -1.6851 -1.2973 -0.5991
Ce 0.7234 -1.1437 0.4417
Ce 3.1419 -4.9670 1.9183
Zn 0.2475 -4.3527 0.5809
```

Copy entry 1 word for word.
A plane-wave DFT calculation with PBE was carried out for an optimized crystal structure of LiNi4Sb. Values from VASP.

Results
ΔE_f (raw) (eV/atom): 0.010
Polymorph energy (0 for the lowest one) (eV/atom): 0.113
Calculated density (g cm⁻³): 7.73

The structure in Quantum ESPRESSO input format:
```
&SYSTEM
  ibrav = 0, nat = 12, ntyp = 3
/
ATOMIC_SPECIES
Sb 121.76 Sb.upf
Ni 58.69 Ni.upf
Li 6.94 Li.upf
CELL_PARAMETERS angstrom
-3.4875 -1.1333 3.4035
-2.0832 -4.4099 -0.4001
5.0238 -2.7569 4.2298
ATOMIC_POSITIONS angstrom
Sb 3.2470 -3.1701 3.0723
Sb -0.3064 -3.9967 0.7574
Ni -0.7466 -5.9035 2.3742
Ni -1.3960 -4.2974 4.1923
Ni -3.3538 -3.2232 2.5440
Ni 2.8070 -5.0770 4.6892
Ni 2.1575 -3.4710 6.5074
Ni -2.7043 -4.8291 0.7259
Ni 0.1998 -2.3966 4.8590
Ni 0.8492 -4.0027 3.0409
Li -1.0086 -2.3584 2.6592
Li 0.4618 -5.9418 4.5741
```